No. 1
{
  "formula": "CuAgW2S",
  "functional": "PBE-GGA",
  "state": "optimized geometry",
  "cell": [[-4.198, -0.709, 1.111], [0.896, -4.567, 0.474], [1.013, 0.638, 4.234]],
  "species": ["Cu", "S", "Ag", "W", "W"],
  "frac_coords": [[0.500, 0.500, 0.500], [0.000, 0.000, 0.000], [0.000, 0.500, 0.000], [0.000, 0.000, 0.500], [0.500, 0.000, 0.000]],
  "sg": "P4/mmm",
  "e_form_raw_ev_per_atom": 1.14
}

---

No. 2
{
  "formula": "Ta2AsN",
  "functional": "PBE-GGA",
  "state": "optimized geometry",
  "cell": [[5.090, 0.000, 0.000], [0.000, 5.090, 0.000], [2.545, 2.545, 5.590]],
  "species": ["N", "As", "N", "Ta", "Ta", "Ta", "As", "Ta"],
  "frac_coords": [[0.250, 0.750, 0.500], [0.000, 0.000, 0.000], [0.500, 0.500, 0.000], [0.529, 0.125, 0.250], [0.875, 0.779, 0.750], [0.221, 0.625, 0.250], [0.750, 0.250, 0.500], [0.375, 0.471, 0.750]],
  "sg": "I-42d",
  "e_form_raw_ev_per_atom": -0.22,
  "e_above_lowest_polymorph_ev_per_atom": 0.000
}

---

No. 3
{
  "formula": "AcTb4Ge4",
  "functional": "PBE-GGA",
  "state": "optimized geometry",
  "cell": [[-2.265, -5.298, 0.601], [7.572, -3.747, -4.483], [4.488, -0.967, 8.390]],
  "species": ["Ge", "Tb", "Ge", "Tb", "Ge", "Tb", "Ge", "Ge", "Tb", "Ac", "Tb", "Ge", "Ac", "Ge", "Tb", "Tb", "Tb", "Ge"],
  "frac_coords": [[0.396, 0.665, 0.810], [0.885, 0.384, 0.142], [0.104, 0.835, 0.690], [0.385, 0.642, 0.116], [0.604, 0.810, 0.335], [0.115, 0.858, 0.384], [0.896, 0.690, 0.165], [0.104, 0.165, 0.310], [0.615, 0.116, 0.358], [0.500, 0.500, 0.500], [0.615, 0.884, 0.642], [0.396, 0.335, 0.190], [0.000, 0.000, 0.000], [0.896, 0.310, 0.835], [0.385, 0.358, 0.884], [0.885, 0.616, 0.858], [0.115, 0.142, 0.616], [0.604, 0.190, 0.665]],
  "sg": "P4_2/n",
  "formation_energy_mev_per_atom": -598
}

---

No. 4
{
  "formula": "La2NdY2Ho2",
  "functional": "PBE-GGA",
  "state": "optimized geometry",
  "cell": [[-2.107, -0.787, 4.603], [-3.930, -0.899, -4.804], [3.188, -7.487, 0.179]],
  "species": ["Ho", "Y", "Ho", "Nd", "Y", "La", "La"],
  "frac_coords": [[0.571, 0.142, 0.717], [0.284, 0.569, 0.861], [0.429, 0.858, 0.283], [0.000, 0.000, 0.000], [0.716, 0.431, 0.139], [0.859, 0.718, 0.573], [0.141, 0.282, 0.427]],
  "sg": "C2/m",
  "formation_energy_mev_per_atom": 29
}

---

No. 5
{
  "formula": "DyPuSc4",
  "functional": "PBE-GGA",
  "state": "optimized geometry",
  "cell": [[13.532, -0.010, -3.745], [-0.638, 6.178, -2.326], [-3.373, -1.896, 5.360]],
  "species": ["Sc", "Dy", "Dy", "Sc", "Sc", "Sc", "Sc", "Sc", "Pu", "Sc", "Sc", "Pu"],
  "frac_coords": [[0.013, 0.766, 0.531], [0.322, 0.738, 0.475], [0.678, 0.262, 0.525], [0.000, 0.760, 0.000], [0.667, 0.250, 0.999], [0.000, 0.240, 0.000], [0.667, 0.748, 0.999], [0.333, 0.252, 0.001], [0.335, 0.254, 0.508], [0.333, 0.750, 0.001], [0.987, 0.234, 0.469], [0.665, 0.746, 0.492]],
  "sg": "C2/m",
  "formation_energy_mev_per_atom": 72,
  "e_above_lowest_polymorph_ev_per_atom": 0.000
}

---

No. 6
{
  "formula": "TbPr5Tm2Sc",
  "functional": "PBE-GGA",
  "state": "optimized geometry",
  "cell": [[-5.256, -1.095, 0.461], [4.828, -10.160, -0.589], [0.935, -0.152, 10.288]],
  "species": ["Tb", "Sc", "Tb", "Pr", "Tm", "Pr", "Pr", "Pr", "Tm", "Pr", "Pr", "Tm", "Pr", "Pr", "Sc", "Pr", "Tm", "Pr"],
  "frac_coords": [[0.399, 0.798, 0.508], [0.213, 0.425, 0.009], [0.601, 0.202, 0.008], [0.279, 0.557, 0.321], [0.115, 0.230, 0.254], [0.721, 0.443, 0.821], [0.500, 0.000, 0.258], [0.721, 0.441, 0.196], [0.884, 0.769, 0.262], [0.500, 0.000, 0.758], [0.627, 0.254, 0.508], [0.116, 0.231, 0.762], [0.999, 0.998, 0.008], [0.373, 0.746, 0.008], [0.787, 0.575, 0.509], [0.279, 0.559, 0.696], [0.885, 0.770, 0.754], [0.001, 0.002, 0.508]],
  "sg": "Cmc2_1",
  "formation_energy_mev_per_atom": 126
}

---

No. 7
{
  "formula": "AgP2Br",
  "functional": "PBE-GGA",
  "state": "optimized geometry",
  "cell": [[4.425, 0.029, 0.000], [-3.278, 2.973, 0.000], [0.000, 0.000, 9.365]],
  "species": ["P", "Ag", "Br", "P"],
  "frac_coords": [[0.000, 0.000, 0.087], [0.000, 0.000, 0.475], [0.500, 0.500, 0.703], [0.500, 0.500, 0.235]],
  "sg": "Cmm2",
  "e_form_raw_ev_per_atom": 0.21,
  "e_above_lowest_polymorph_ev_per_atom": 0.187
}

---

No. 8
{
  "formula": "TlSb2Se",
  "functional": "PBE-GGA",
  "state": "optimized geometry",
  "cell": [[5.966, 0.001, 0.003], [-2.809, 5.604, 0.069], [0.348, 0.971, 3.225]],
  "species": ["Se", "Sb", "Sb", "Tl"],
  "frac_coords": [[0.000, 0.500, 0.500], [0.500, 0.000, 0.500], [0.000, 0.000, 0.000], [0.500, 0.500, 0.000]],
  "sg": "C2/m",
  "e_form_raw_ev_per_atom": 0.17,
  "e_above_lowest_polymorph_ev_per_atom": 0.280
}

---

No. 9
{
  "formula": "LiO2F2",
  "functional": "PBE-GGA",
  "state": "optimized geometry",
  "cell": [[2.612, 0.000, 0.000], [0.000, 2.612, 0.000], [1.306, 1.306, 7.681]],
  "species": ["O", "Li", "F", "O", "F"],
  "frac_coords": [[0.750, 0.250, 0.500], [0.000, 0.000, 0.000], [0.437, 0.437, 0.127], [0.250, 0.750, 0.500], [0.563, 0.563, 0.873]],
  "sg": "I4/mmm",
  "e_form_raw_ev_per_atom": -0.40,
  "e_above_lowest_polymorph_ev_per_atom": 0.755
}

---

No. 10
{
  "formula": "KTlSn",
  "functional": "PBE-GGA",
  "state": "optimized geometry",
  "cell": [[7.526, 0.000, 0.024], [0.000, 4.459, 0.000], [0.132, 0.000, 6.928]],
  "species": ["Sn", "Tl", "K", "Sn", "Tl", "K"],
  "frac_coords": [[0.515, 0.750, 0.357], [0.163, 0.750, 0.601], [0.246, 0.250, 0.097], [0.485, 0.250, 0.643], [0.837, 0.250, 0.399], [0.754, 0.750, 0.903]],
  "sg": "P2_1/m",
  "formation_energy_mev_per_atom": -138
}

---

No. 11
{
  "formula": "Sr3Al2Ge3",
  "functional": "PBE-GGA",
  "state": "optimized geometry",
  "cell": [[-1.456, -3.013, 6.374], [4.499, -6.225, -1.915], [12.014, 6.843, 5.980]],
  "species": ["Al", "Al", "Al", "Ge", "Sr", "Sr", "Sr", "Ge", "Al", "Ge", "Ge", "Ge", "Sr", "Ge", "Sr", "Sr", "Ge", "Al", "Al", "Sr", "Al", "Al", "Sr", "Ge", "Ge", "Ge", "Sr", "Ge", "Ge", "Sr", "Sr", "Sr"],
  "frac_coords": [[0.386, 0.362, 0.590], [0.614, 0.638, 0.410], [0.114, 0.862, 0.910], [0.954, 0.790, 0.750], [0.173, 0.488, 0.394], [0.327, 0.988, 0.106], [0.625, 0.336, 0.250], [0.454, 0.710, 0.250], [0.114, 0.862, 0.590], [0.090, 0.187, 0.551], [0.046, 0.210, 0.250], [0.410, 0.687, 0.551], [0.875, 0.836, 0.250], [0.410, 0.687, 0.949], [0.327, 0.988, 0.394], [0.827, 0.512, 0.894], [0.590, 0.313, 0.051], [0.886, 0.138, 0.090], [0.614, 0.638, 0.090], [0.673, 0.012, 0.606], [0.386, 0.362, 0.910], [0.886, 0.138, 0.410], [0.827, 0.512, 0.606], [0.910, 0.813, 0.051], [0.546, 0.290, 0.750], [0.590, 0.313, 0.449], [0.375, 0.664, 0.750], [0.910, 0.813, 0.449], [0.090, 0.187, 0.949], [0.673, 0.012, 0.894], [0.173, 0.488, 0.106], [0.125, 0.164, 0.750]],
  "sg": "Pnma",
  "formation_energy_mev_per_atom": -514,
  "e_above_lowest_polymorph_ev_per_atom": 0.000
}

---

No. 12
{
  "formula": "Zr2Ta",
  "functional": "PBE-GGA",
  "state": "optimized geometry",
  "cell": [[-5.996, -0.825, -2.659], [-2.556, -0.870, 6.035], [-1.102, 6.502, 0.470]],
  "species": ["Ta", "Zr", "Ta", "Zr", "Zr", "Ta", "Zr", "Zr", "Zr", "Ta", "Zr", "Zr"],
  "frac_coords": [[0.500, 0.500, 0.000], [0.250, 0.750, 0.750], [0.500, 0.000, 0.500], [0.750, 0.250, 0.250], [0.750, 0.250, 0.750], [0.000, 0.500, 0.500], [0.750, 0.750, 0.750], [0.750, 0.750, 0.250], [0.250, 0.750, 0.250], [0.000, 0.000, 0.000], [0.250, 0.250, 0.750], [0.250, 0.250, 0.250]],
  "sg": "Fm-3m",
  "formation_energy_mev_per_atom": 718
}

---

No. 13
{
  "formula": "Rb2CdGeF6",
  "functional": "PBE-GGA",
  "state": "optimized geometry",
  "cell": [[6.350, 0.000, 0.000], [0.000, 6.350, 0.000], [3.175, 3.175, 4.492]],
  "species": ["F", "Rb", "F", "F", "F", "F", "Cd", "Ge", "F", "Rb"],
  "frac_coords": [[0.252, 0.252, 0.496], [0.750, 0.250, 0.500], [0.252, 0.748, 0.000], [0.748, 0.252, 0.000], [0.252, 0.252, 0.000], [0.748, 0.748, 0.504], [0.000, 0.000, 0.000], [0.500, 0.500, 0.000], [0.748, 0.748, 0.000], [0.250, 0.750, 0.500]],
  "sg": "Fm-3m",
  "e_form_raw_ev_per_atom": -2.41
}

---

No. 14
{
  "formula": "PrCd4In",
  "functional": "PBE-GGA",
  "state": "optimized geometry",
  "cell": [[-4.535, -3.121, 2.401], [0.691, -5.837, 1.231], [0.316, -1.849, 5.705]],
  "species": ["Cd", "Cd", "Cd", "Cd", "Pr", "In"],
  "frac_coords": [[0.625, 0.625, 0.625], [0.625, 0.625, 0.126], [0.625, 0.126, 0.625], [0.126, 0.625, 0.625], [0.250, 0.250, 0.250], [0.000, 0.000, 0.000]],
  "sg": "F-43m",
  "formation_energy_mev_per_atom": -132,
  "e_above_lowest_polymorph_ev_per_atom": 0.112
}

---

No. 15
{
  "formula": "ZnCuTc",
  "functional": "PBE-GGA",
  "state": "optimized geometry",
  "cell": [[2.682, 0.000, 0.000], [-1.341, 2.322, 0.000], [0.000, 0.000, 6.589]],
  "species": ["Tc", "Cu", "Zn"],
  "frac_coords": [[0.667, 0.333, 0.329], [0.000, 0.000, 0.996], [0.333, 0.667, 0.675]],
  "sg": "P3m1",
  "formation_energy_mev_per_atom": 118,
  "e_above_lowest_polymorph_ev_per_atom": 0.149
}

---

No. 16
{
  "formula": "CaSbPt2",
  "functional": "PBE-GGA",
  "state": "optimized geometry",
  "cell": [[-4.418, -1.985, -2.738], [1.103, -3.827, -3.885], [0.770, 1.014, 5.416]],
  "species": ["Pt", "Sb", "Pt", "Ca"],
  "frac_coords": [[0.745, 0.245, 0.500], [0.528, 0.528, 0.000], [0.972, 0.972, 0.000], [0.255, 0.755, 0.500]],
  "sg": "Imm2",
  "e_form_raw_ev_per_atom": -0.60
}

---

No. 17
{
  "formula": "Ac5ZnGe2",
  "functional": "PBE-GGA",
  "state": "optimized geometry",
  "cell": [[-0.385, 6.357, 5.311], [-6.002, 3.450, -4.564], [-2.222, -8.752, 3.840]],
  "species": ["Ac", "Ac", "Ge", "Ge", "Zn", "Ac", "Ac", "Ac", "Ac", "Ac", "Ge", "Ac", "Zn", "Ac", "Ac", "Ge"],
  "frac_coords": [[0.000, 0.000, 0.000], [0.183, 0.030, 0.713], [0.621, 0.121, 0.000], [0.121, 0.379, 0.000], [0.250, 0.250, 0.500], [0.500, 0.500, 0.000], [0.817, 0.970, 0.287], [0.470, 0.317, 0.287], [0.683, 0.183, 0.713], [0.530, 0.683, 0.713], [0.879, 0.621, 0.000], [0.317, 0.817, 0.287], [0.750, 0.750, 0.500], [0.030, 0.530, 0.713], [0.970, 0.470, 0.287], [0.379, 0.879, 0.000]],
  "sg": "I4/mcm",
  "formation_energy_mev_per_atom": -420
}

---

No. 18
{
  "formula": "La7Dy2Mg2",
  "functional": "PBE-GGA",
  "state": "optimized geometry",
  "cell": [[-4.818, 4.724, 4.263], [-2.227, -5.765, 0.951], [3.008, -2.155, 7.072]],
  "species": ["La", "La", "Dy", "La", "La", "Dy", "La", "Mg", "Mg", "La", "La"],
  "frac_coords": [[0.424, 0.171, 0.071], [0.576, 0.829, 0.929], [0.800, 0.414, 0.200], [0.414, 0.204, 0.586], [0.929, 0.171, 0.576], [0.200, 0.586, 0.800], [0.000, 0.000, 0.000], [0.772, 0.500, 0.772], [0.228, 0.500, 0.228], [0.071, 0.829, 0.424], [0.586, 0.796, 0.414]],
  "sg": "C2/m",
  "formation_energy_mev_per_atom": 84,
  "e_above_lowest_polymorph_ev_per_atom": 0.000
}

---

No. 19
{
  "formula": "Mg2FeN2",
  "functional": "PBE-GGA",
  "state": "optimized geometry",
  "cell": [[-2.150, -2.922, -1.714], [2.594, -2.726, 1.394], [-1.968, -3.187, 3.205]],
  "species": ["Mg", "Mg", "N", "Fe", "N"],
  "frac_coords": [[0.320, 0.320, 0.359], [0.680, 0.680, 0.641], [0.750, 0.250, 0.500], [0.000, 0.000, 0.000], [0.250, 0.750, 0.500]],
  "sg": "I4/mmm",
  "e_form_raw_ev_per_atom": 0.57,
  "e_above_lowest_polymorph_ev_per_atom": 1.033
}

---

No. 20
{
  "formula": "Tb4Zn2S",
  "functional": "PBE-GGA",
  "state": "optimized geometry",
  "cell": [[-3.226, 0.037, 2.230], [0.875, -4.511, 4.790], [1.841, 3.936, 6.046]],
  "species": ["Zn", "Tb", "Tb", "S", "Tb", "Zn", "Tb"],
  "frac_coords": [[0.386, 0.555, 0.673], [0.092, 0.194, 0.621], [0.908, 0.806, 0.379], [0.000, 0.000, 0.000], [0.672, 0.740, 0.915], [0.614, 0.445, 0.327], [0.328, 0.260, 0.085]],
  "sg": "C2/m",
  "e_form_raw_ev_per_atom": -0.73
}

---

Number 1: DOS(E_F) 2.71 states/eV per cell. Number 2: DOS(E_F) 4.13 states/eV per cell. Number 3: DOS(E_F) 15.74 states/eV per cell. Number 4: DOS(E_F) 11.53 states/eV per cell. Number 5: DOS(E_F) 26.58 states/eV per cell. Number 6: DOS(E_F) 26.68 states/eV per cell. Number 7: DOS(E_F) 1.75 states/eV per cell. Number 8: DOS(E_F) 2.31 states/eV per cell. Number 9: DOS(E_F) 2.06 states/eV per cell. Number 10: DOS(E_F) 2.45 states/eV per cell. Number 11: DOS(E_F) 0.39 states/eV per cell. Number 12: DOS(E_F) 11.06 states/eV per cell. Number 13: DOS(E_F) 0.00 states/eV per cell. Number 14: DOS(E_F) 4.32 states/eV per cell. Number 15: DOS(E_F) 2.41 states/eV per cell. Number 16: DOS(E_F) 1.68 states/eV per cell. Number 17: DOS(E_F) 15.76 states/eV per cell. Number 18: DOS(E_F) 14.46 states/eV per cell. Number 19: DOS(E_F) 5.04 states/eV per cell. Number 20: DOS(E_F) 7.61 states/eV per cell.